Entry 1:
# MgZr2Zn PBE-GGA relaxed
# * energy above the most stable polymorph in this dataset: 4.6 kJ per mole of atoms
# * DOS at the Fermi energy: 7.5 states/eV per cell
data_MgZr2Zn
_space_group_name_H-M_alt 'I 4/m m m'
_space_group_IT_number 139
_space_group_name_Hall '-I 4 2'
_cell_length_a 4.3878
_cell_length_b 4.3878
_cell_length_c 8.3778
_cell_angle_alpha 90.00
_cell_angle_beta 90.00
_cell_angle_gamma 90.00
loop_
_atom_site_label
_atom_site_type_symbol
_atom_site_fract_x
_atom_site_fract_y
_atom_site_fract_z
Mg1 Mg 0.0000 0.0000 0.0000
Zr1 Zr 0.0000 0.5000 0.2500
Zn1 Zn 0.0000 0.0000 0.5000


Entry 2:
# Zr2FeAs PBE-GGA relaxed
# * DFT total energy: -94.757 eV per cell
# * DOS at the Fermi energy: 9.9 states/eV per cell
data_Zr2FeAs
_space_group_name_H-M_alt 'R -3 m'
_space_group_IT_number 166
_space_group_name_Hall '-R 3 2"'
_cell_length_a 3.6173
_cell_length_b 3.6173
_cell_length_c 20.5839
_cell_angle_alpha 90.00
_cell_angle_beta 90.00
_cell_angle_gamma 120.00
loop_
_atom_site_label
_atom_site_type_symbol
_atom_site_fract_x
_atom_site_fract_y
_atom_site_fract_z
Zr1 Zr 0.0000 0.0000 0.2488
Fe1 Fe 0.0000 0.0000 0.5000
As1 As 0.0000 0.0000 0.0000


Entry 3:
# MnVFe14 PBE-GGA relaxed
# * DFT total energy: -274.210 eV per cell
# * DOS at the Fermi energy: 23.3 states/eV per cell
data_MnVFe14
_space_group_name_H-M_alt 'C m m m'
_space_group_IT_number 65
_space_group_name_Hall '-C 2 2'
_cell_length_a 5.6869
_cell_length_b 8.0196
_cell_length_c 8.0261
_cell_angle_alpha 90.00
_cell_angle_beta 90.00
_cell_angle_gamma 90.00
loop_
_atom_site_label
_atom_site_type_symbol
_atom_site_fract_x
_atom_site_fract_y
_atom_site_fract_z
Mn1 Mn 0.0000 0.0000 0.0000
V1 V 0.0000 0.5000 0.0000
Fe1 Fe 0.0000 0.0000 0.5000
Fe2 Fe 0.0000 0.2490 0.2504
Fe3 Fe 0.0000 0.5000 0.5000
Fe4 Fe 0.2486 0.0000 0.2498
Fe5 Fe 0.2500 0.2500 0.0000
Fe6 Fe 0.2500 0.2500 0.5000


Entry 4:
# TaAsH PBE-GGA relaxed
# * energy above the most stable polymorph in this dataset: 13.4 kJ per mole of atoms
# * DOS at the Fermi energy: 2.2 states/eV per cell
data_TaAsH
_space_group_name_H-M_alt 'P -1'
_space_group_IT_number 2
_space_group_name_Hall '-P 1'
_cell_length_a 3.2747
_cell_length_b 4.9369
_cell_length_c 5.4506
_cell_angle_alpha 108.65
_cell_angle_beta 90.35
_cell_angle_gamma 109.15
loop_
_atom_site_label
_atom_site_type_symbol
_atom_site_fract_x
_atom_site_fract_y
_atom_site_fract_z
Ta1 Ta 0.1765 0.3526 0.1967
As1 As 0.4590 0.9154 0.2253
H1 H 0.2201 0.4407 0.5927


Entry 5:
# LaRu PBE-GGA relaxed
# * DFT total energy: -54.488 eV per cell
# * DOS at the Fermi energy: 12.0 states/eV per cell
data_LaRu
_space_group_name_H-M_alt 'P 63/m m c'
_space_group_IT_number 194
_space_group_name_Hall '-P 6c 2c'
_cell_length_a 5.1183
_cell_length_b 5.1183
_cell_length_c 7.7575
_cell_angle_alpha 90.00
_cell_angle_beta 90.00
_cell_angle_gamma 120.00
loop_
_atom_site_label
_atom_site_type_symbol
_atom_site_fract_x
_atom_site_fract_y
_atom_site_fract_z
La1 La 0.0000 0.0000 0.2500
La2 La 0.3333 0.6667 0.2500
Ru1 Ru 0.3333 0.6667 0.5633


Entry 6:
# Li4ZnCu PBE-GGA relaxed
# * energy above the most stable polymorph in this dataset: 19.2 kJ per mole of atoms
# * DOS at the Fermi energy: 11.8 states/eV per cell
data_Li4ZnCu
_space_group_name_H-M_alt 'F -4 3 m'
_space_group_IT_number 216
_space_group_name_Hall 'F -4 2 3'
_cell_length_a 7.0052
_cell_length_b 7.0052
_cell_length_c 7.0052
_cell_angle_alpha 90.00
_cell_angle_beta 90.00
_cell_angle_gamma 90.00
loop_
_atom_site_label
_atom_site_type_symbol
_atom_site_fract_x
_atom_site_fract_y
_atom_site_fract_z
Li1 Li 0.1252 0.1252 0.1252
Zn1 Zn 0.2500 0.2500 0.7500
Cu1 Cu 0.0000 0.0000 0.5000


Entry 7:
# LiNdGaPd PBE-GGA relaxed
# * energy above the most stable polymorph in this dataset: 0.0 kJ per mole of atoms
# * DOS at the Fermi energy: 26.8 states/eV per cell
data_LiNdGaPd
_space_group_name_H-M_alt 'F -4 3 m'
_space_group_IT_number 216
_space_group_name_Hall 'F -4 2 3'
_cell_length_a 6.7456
_cell_length_b 6.7456
_cell_length_c 6.7456
_cell_angle_alpha 90.00
_cell_angle_beta 90.00
_cell_angle_gamma 90.00
loop_
_atom_site_label
_atom_site_type_symbol
_atom_site_fract_x
_atom_site_fract_y
_atom_site_fract_z
Li1 Li 0.0000 0.0000 0.0000
Nd1 Nd 0.2500 0.2500 0.2500
Ga1 Ga 0.2500 0.2500 0.7500
Pd1 Pd 0.0000 0.0000 0.5000


Entry 8:
# CsY2RePb PBE-GGA relaxed
# * DFT total energy: -26.154 eV per cell
# * DOS at the Fermi energy: 5.2 states/eV per cell
data_CsY2RePb
_space_group_name_H-M_alt 'P 4/m m m'
_space_group_IT_number 123
_space_group_name_Hall '-P 4 2'
_cell_length_a 5.4857
_cell_length_b 5.4857
_cell_length_c 5.7278
_cell_angle_alpha 90.00
_cell_angle_beta 90.00
_cell_angle_gamma 90.00
loop_
_atom_site_label
_atom_site_type_symbol
_atom_site_fract_x
_atom_site_fract_y
_atom_site_fract_z
Cs1 Cs 0.0000 0.0000 0.0000
Y1 Y 0.0000 0.5000 0.5000
Re1 Re 0.0000 0.0000 0.5000
Pb1 Pb 0.5000 0.5000 0.0000


Entry 9:
# BaLaSeN2 PBE-GGA relaxed
# * energy above the most stable polymorph in this dataset: 69.8 kJ per mole of atoms
# * formation energy (no corrections): 10.03 kcal/mol of atoms
# * DOS at the Fermi energy: 1.3 states/eV per cell
data_BaLaSeN2
_space_group_name_H-M_alt 'P 4/m m m'
_space_group_IT_number 123
_space_group_name_Hall '-P 4 2'
_cell_length_a 4.5782
_cell_length_b 4.5782
_cell_length_c 6.1282
_cell_angle_alpha 90.00
_cell_angle_beta 90.00
_cell_angle_gamma 90.00
loop_
_atom_site_label
_atom_site_type_symbol
_atom_site_fract_x
_atom_site_fract_y
_atom_site_fract_z
Ba1 Ba 0.0000 0.0000 0.0000
La1 La 0.5000 0.5000 0.5000
Se1 Se 0.0000 0.0000 0.5000
N1 N 0.0000 0.5000 0.0000


Entry 10:
# TmZrNp2P4 PBE-GGA relaxed
# * DFT total energy: -70.103 eV per cell
# * DOS at the Fermi energy: 16.1 states/eV per cell
data_TmZrNp2P4
_space_group_name_H-M_alt 'P 1 2/m 1'
_space_group_IT_number 10
_space_group_name_Hall '-P 2y'
_cell_length_a 6.7230
_cell_length_b 3.8967
_cell_length_c 6.7618
_cell_angle_alpha 90.00
_cell_angle_beta 109.49
_cell_angle_gamma 90.00
loop_
_atom_site_label
_atom_site_type_symbol
_atom_site_fract_x
_atom_site_fract_y
_atom_site_fract_z
Tm1 Tm 0.0000 0.0000 0.0000
Zr1 Zr 0.0000 0.5000 0.5000
Np1 Np 0.5000 0.0000 0.5000
Np2 Np 0.5000 0.5000 0.0000
P1 P 0.2437 0.0000 0.7421
P2 P 0.2471 0.5000 0.2553


Entry 11:
# Zn3GaAu3 PBE-GGA relaxed
# * energy above the most stable polymorph in this dataset: 0.0 kJ per mole of atoms
# * DOS at the Fermi energy: 12.4 states/eV per cell
data_Zn3GaAu3
_space_group_name_H-M_alt 'P 21 3'
_space_group_IT_number 198
_space_group_name_Hall 'P 2ac 2ab 3'
_cell_length_a 7.8234
_cell_length_b 7.8234
_cell_length_c 7.8234
_cell_angle_alpha 90.00
_cell_angle_beta 90.00
_cell_angle_gamma 90.00
loop_
_atom_site_label
_atom_site_type_symbol
_atom_site_fract_x
_atom_site_fract_y
_atom_site_fract_z
Zn1 Zn 0.0314 0.4686 0.5314
Zn2 Zn 0.1539 0.8461 0.3461
Zn3 Zn 0.1674 0.1674 0.1674
Ga1 Ga 0.1353 0.6353 0.8647
Au1 Au 0.0356 0.3051 0.8688


Entry 12:
# LiCa2Y PBE-GGA relaxed
# * energy above the most stable polymorph in this dataset: 4.9 kJ per mole of atoms
# * DOS at the Fermi energy: 3.3 states/eV per cell
data_LiCa2Y
_space_group_name_H-M_alt 'P 4/m m m'
_space_group_IT_number 123
_space_group_name_Hall '-P 4 2'
_cell_length_a 5.8632
_cell_length_b 5.8632
_cell_length_c 3.9892
_cell_angle_alpha 90.00
_cell_angle_beta 90.00
_cell_angle_gamma 90.00
loop_
_atom_site_label
_atom_site_type_symbol
_atom_site_fract_x
_atom_site_fract_y
_atom_site_fract_z
Li1 Li 0.0000 0.0000 0.0000
Ca1 Ca 0.0000 0.5000 0.5000
Y1 Y 0.5000 0.5000 0.0000